Record 1
# SrSn4Pd2

An optimized crystal structure of SrSn4Pd2 (GGA-PBE, the Alexandria database).

The structure in CIF format:
```
data_SrSn4Pd2
_space_group_name_H-M_alt 'P 42/m n m'
_space_group_IT_number 136
_space_group_name_Hall '-P 4n 2n'
_cell_length_a 8.8682
_cell_length_b 8.8682
_cell_length_c 4.3695
_cell_angle_alpha 90.00
_cell_angle_beta 90.00
_cell_angle_gamma 90.00
loop_
_atom_site_label
_atom_site_type_symbol
_atom_site_fract_x
_atom_site_fract_y
_atom_site_fract_z
Sr1 Sr 0.0000 0.0000 0.0000
Sn1 Sn 0.0760 0.3180 0.5000
Pd1 Pd 0.2172 0.7828 0.5000
```

Computed properties:
**E_tot**: -4.49 eV/atom
**Energy relative to the elements**: -0.482 eV/atom
**E above lowest polymorph**: 77 meV/atom

Record 2
# HfGaPS2

An optimized crystal structure of HfGaPS2 (GGA-PBE, the Alexandria database).

The structure in CIF format:
```
data_HfGaPS2
_space_group_name_H-M_alt 'P 4/m m m'
_space_group_IT_number 123
_space_group_name_Hall '-P 4 2'
_cell_length_a 4.9343
_cell_length_b 4.9343
_cell_length_c 5.0888
_cell_angle_alpha 90.00
_cell_angle_beta 90.00
_cell_angle_gamma 90.00
loop_
_atom_site_label
_atom_site_type_symbol
_atom_site_fract_x
_atom_site_fract_y
_atom_site_fract_z
Hf1 Hf 0.0000 0.0000 0.0000
Ga1 Ga 0.5000 0.5000 0.5000
P1 P 0.0000 0.0000 0.5000
S1 S 0.0000 0.5000 0.0000
```

Computed properties:
**Raw formation energy**: -0.3214 eV per atom
**E_tot**: -5.65 eV/atom
**E above lowest polymorph**: 0 meV/atom

Record 3
# TbYCuAg

An optimized crystal structure of TbYCuAg (GGA-PBE, the Alexandria database).

The structure in CIF format:
```
data_TbYCuAg
_space_group_name_H-M_alt 'P 4 m m'
_space_group_IT_number 99
_cell_length_a 3.5609
_cell_length_b 3.5609
_cell_length_c 7.1671
_cell_angle_alpha 90.00
_cell_angle_beta 90.00
_cell_angle_gamma 90.00
loop_
_space_group_symop_operation_xyz
'x,y,z'
'-y,x,z'
'-x,-y,z'
'y,-x,z'
'-x,y,z'
'y,x,z'
'x,-y,z'
'-y,-x,z'
loop_
_atom_site_label
_atom_site_type_symbol
_atom_site_fract_x
_atom_site_fract_y
_atom_site_fract_z
Tb1 Tb 0.0000 0.0000 0.0000
Y1 Y 0.0000 0.0000 0.4727
Cu1 Cu 0.5000 0.5000 0.2344
Ag1 Ag 0.5000 0.5000 0.7368
```

Computed properties:
**E_tot**: -4.79 eV/atom
**Energy relative to the elements**: -0.279 eV/atom
**E above lowest polymorph**: 0 meV/atom

Record 4
# TeOs2Br

An optimized crystal structure of TeOs2Br (GGA-PBE, the Alexandria database).

The structure in CIF format:
```
data_TeOs2Br
_space_group_name_H-M_alt 'I m m 2'
_space_group_IT_number 44
_cell_length_a 3.0382
_cell_length_b 3.1857
_cell_length_c 18.4917
_cell_angle_alpha 90.00
_cell_angle_beta 90.00
_cell_angle_gamma 90.00
loop_
_space_group_symop_operation_xyz
'x,y,z'
'-x,-y,z'
'-x,y,z'
'x,-y,z'
'x+1/2,y+1/2,z+1/2'
'-x+1/2,-y+1/2,z+1/2'
'-x+1/2,y+1/2,z+1/2'
'x+1/2,-y+1/2,z+1/2'
loop_
_atom_site_label
_atom_site_type_symbol
_atom_site_fract_x
_atom_site_fract_y
_atom_site_fract_z
Te1 Te 0.0000 0.0000 0.0000
Os1 Os 0.0000 0.0000 0.5907
Os2 Os 0.0000 0.5000 0.1990
Br1 Br 0.0000 0.5000 0.7927
```

Computed properties:
**Raw formation energy**: 0.8975 eV per atom
**E_tot**: -5.92 eV/atom
**E above lowest polymorph**: 578 meV/atom